Entry 1:
The following is a DFT calculation (PBE) of SrPuCu after structural relaxation.

Cell lengths 4.4636, 4.4636, 8.6353 Å; angles 90.00, 90.00, 90.00 degrees
Atoms (fractional coordinates):
Sr: 0.0000 0.5000 0.8550
Sr: 0.5000 0.0000 0.1450
Cu: 0.0000 0.5000 0.2642
Cu: 0.5000 0.0000 0.7358
Pu: 0.5000 0.5000 0.5000
Pu: 0.0000 0.0000 0.5000

Calculated values
Total moment = 12.9 μB/cell

Entry 2:
The following is a DFT calculation (PBE) of SrPuCu10 after structural relaxation.

Cell lengths 4.0295, 5.2105, 8.9643 Å; angles 90.00, 90.00, 90.00 degrees
Atoms (fractional coordinates):
Sr: 0.0000 0.0000 0.0000
Pu: 0.0000 0.5000 0.5000
Cu: 0.0000 0.0000 0.3389
Cu: 0.0000 0.5000 0.8278
Cu: 0.0000 0.5000 0.1722
Cu: 0.0000 0.0000 0.6610
Cu: 0.5000 0.0000 0.5000
Cu: 0.5000 0.5000 0.0000
Cu: 0.5000 0.2548 0.2582
Cu: 0.5000 0.7452 0.7418
Cu: 0.5000 0.7452 0.2582
Cu: 0.5000 0.2548 0.7418

Calculated values
Total moment = 6.0 μB/cell

Entry 3:
The following is a DFT calculation (PBE) of SrPu2Cu9 after structural relaxation.

Cell lengths 5.2092, 5.2092, 8.9528 Å; angles 73.09, 73.09, 60.00 degrees
Atoms (fractional coordinates):
Sr: 0.0000 0.0000 0.0000
Pu: 0.8519 0.8519 0.4443
Pu: 0.1481 0.1481 0.5557
Cu: 0.6681 0.6681 0.9956
Cu: 0.3319 0.3319 0.0044
Cu: 0.5000 0.5000 0.5000
Cu: 0.4201 0.4201 0.2453
Cu: 0.9146 0.4201 0.2453
Cu: 0.4201 0.9146 0.2453
Cu: 0.5799 0.5799 0.7547
Cu: 0.5799 0.0854 0.7547
Cu: 0.0854 0.5799 0.7547

Calculated values
Total moment = 11.6 μB/cell

| no. | calculated volume (Å³ per atom) | DFT formation energy (meV/atom) |
| --- | --- | --- |
| 1 | 28.67 | 70 |
| 2 | 15.68 | -42 |
| 3 | 16.51 | -32 |